# 1
MgTl2Sb: optimized geometry, PBE-GGA.

Results
Energy relative to the elements, uncorrected, eV per atom: 0.00
Polymorph energy (0 for the lowest one), meV per atom: 55
Space group: Imm2
N(E_F), states/eV/cell: 1.74

The structure in extended XYZ format:
```
4
Lattice="-1.7040 2.8511 5.8330 1.7040 -2.8511 5.8330 1.7040 2.8511 -5.8330" Properties=species:S:1:pos:R:3 pbc="T T T"
Mg 0.0000 0.0000 0.0000
Tl 0.0000 0.0000 5.5739
Tl 0.0000 2.8511 3.0345
Sb 1.7040 0.0000 2.4502
```

---

# 2
K4MoP: optimized geometry, PBE-GGA.

Results
Formation energy, eV/atom: 1.14
Space group: F-43m
N(E_F), states/eV/cell: 2.08

The structure in extended XYZ format:
```
6
Lattice="0.0000 4.7841 4.7841 4.7841 0.0000 4.7841 4.7841 4.7841 0.0000" Properties=species:S:1:pos:R:3 pbc="T T T"
K 3.6093 3.6093 3.6093
K 5.9590 5.9590 3.6093
K 5.9590 3.6093 5.9590
K 3.6093 5.9590 5.9590
Mo 0.0000 0.0000 0.0000
P 7.1762 7.1762 7.1762
```

---

# 3
La4CeN5: optimized geometry, PBE-GGA.

Results
Energy relative to the elements, uncorrected, eV per atom: -1.37
Polymorph energy (0 for the lowest one), meV per atom: 0
Space group: I4
N(E_F), states/eV/cell: 2.82

The structure in extended XYZ format:
```
10
Lattice="-4.1424 4.1424 2.6293 4.1424 -4.1424 2.6293 4.1424 4.1424 -2.6293" Properties=species:S:1:pos:R:3 pbc="T T T"
La 5.8097 0.8486 0.0000
La 0.8486 2.4751 0.0000
La 3.2938 1.6673 2.6293
La -1.6673 3.2938 2.6293
Ce 0.0000 0.0000 2.5839
N 0.0000 0.0000 0.1392
N 3.3615 1.8153 0.0031
N 2.3271 -0.7809 2.6324
N 1.8153 4.9233 0.0031
N 0.7809 2.3271 2.6324
```

---

# 4
Ba7Al10: optimized geometry, PBE-GGA.

Results
Formation energy, eV/atom: -0.24
Space group: R-3m
N(E_F), states/eV/cell: 6.98

The structure in extended XYZ format:
```
17
Lattice="3.0337 1.7515 16.5043 -3.0337 1.7515 16.5043 0.0000 -3.5030 16.5043" Properties=species:S:1:pos:R:3 pbc="T T T"
Ba 0.0000 0.0000 0.0000
Ba 0.0000 0.0000 6.9629
Ba 0.0000 0.0000 18.3547
Ba 0.0000 0.0000 22.1289
Ba 0.0000 0.0000 27.3840
Ba 0.0000 0.0000 31.1582
Ba 0.0000 0.0000 42.5499
Al 0.0000 -1.8333 12.7713
Al -1.5877 0.9166 12.7713
Al 0.0000 0.0000 10.7012
Al 0.0000 0.0000 14.8076
Al -1.5877 -0.9166 36.7416
Al 1.5877 0.9166 12.7713
Al 0.0000 0.0000 34.7053
Al 0.0000 0.0000 38.8117
Al 1.5877 -0.9167 36.7416
Al 0.0000 1.8333 36.7416
```

---

Number 1: magnetization 0.00 μB/f.u.. Number 2: magnetization 5.11 μB/f.u.. Number 3: magnetization 0.00 μB/f.u.. Number 4: magnetization 0.67 μB/f.u..